## i
{
  "formula": "Ce2PrRh2",
  "functional": "GGA-PBE",
  "state": "optimized geometry",
  "lattice_angstrom": [[-3.301, -0.146, -1.958], [-4.576, -5.245, 4.337], [-3.786, 7.372, 2.053]],
  "species": ["Rh", "Rh", "Rh", "Rh", "Pr", "Pr", "Ce", "Ce", "Ce", "Ce"],
  "frac_coords": [[0.359, 0.684, 0.599], [0.355, 0.375, 0.915], [0.645, 0.625, 0.085], [0.641, 0.316, 0.401], [0.342, 0.999, 0.318], [0.658, 0.001, 0.682], [0.039, 0.593, 0.330], [0.855, 0.226, 0.063], [0.961, 0.407, 0.670], [0.145, 0.774, 0.937]],
  "volume_a3_per_fu": 123.5,
  "crystal_system": "monoclinic",
  "dos_ef_per_ev_cell": 17.19,
  "rho_g_cm3": 8.43,
  "spacegroup": "C2/m, No. 12"
}

## ii
{
  "formula": "Ce2PrRh2",
  "functional": "GGA-PBE",
  "state": "optimized geometry",
  "lattice_angstrom": [[-1.588, 3.747, -1.860], [-3.564, -2.090, -1.719], [-5.285, 1.875, 3.606]],
  "species": ["Pr", "Rh", "Rh", "Ce", "Ce"],
  "frac_coords": [[0.000, 0.000, 0.000], [0.569, 0.569, 0.784], [0.431, 0.431, 0.216], [0.772, 0.228, 0.500], [0.228, 0.772, 0.500]],
  "volume_a3_per_fu": 122.0,
  "crystal_system": "monoclinic",
  "dos_ef_per_ev_cell": 9.61,
  "rho_g_cm3": 8.53,
  "spacegroup": "C2/m, No. 12"
}

Pick i: it beats the second-best structure by 0.096 eV/atom.

## i
{
  "formula": "Ce2Pr2Ru3",
  "functional": "GGA-PBE",
  "state": "optimized geometry",
  "lattice_angstrom": [[3.883, 0.000, 1.331], [1.935, 5.856, 0.681], [-0.338, -0.151, 7.363]],
  "species": ["Ru", "Ru", "Ru", "Pr", "Pr", "Ce", "Ce"],
  "frac_coords": [[0.010, 0.665, 0.317], [0.000, 0.000, 0.000], [0.990, 0.335, 0.683], [0.299, 0.778, 0.624], [0.701, 0.222, 0.376], [0.407, 0.285, 0.901], [0.593, 0.715, 0.099]],
  "volume_a3_per_fu": 170.1,
  "crystal_system": "triclinic",
  "dos_ef_per_ev_cell": 6.12,
  "rho_g_cm3": 8.45,
  "spacegroup": "P-1, No. 2"
}

## ii
{
  "formula": "Ce2Pr2Ru3",
  "functional": "GGA-PBE",
  "state": "optimized geometry",
  "lattice_angstrom": [[4.414, 0.152, -0.167], [-1.991, 5.580, -0.033], [-0.326, -0.985, 7.363]],
  "species": ["Ru", "Ru", "Ru", "Pr", "Pr", "Ce", "Ce"],
  "frac_coords": [[0.802, 0.626, 0.241], [0.198, 0.374, 0.759], [0.000, 0.000, 0.000], [0.847, 0.743, 0.636], [0.153, 0.257, 0.364], [0.376, 0.734, 0.093], [0.624, 0.266, 0.907]],
  "volume_a3_per_fu": 182.8,
  "crystal_system": "triclinic",
  "dos_ef_per_ev_cell": 4.54,
  "rho_g_cm3": 7.86,
  "spacegroup": "P-1, No. 2"
}

Pick i: it beats the second-best structure by 0.079 eV/atom.

## i
{
  "formula": "CePrRu",
  "functional": "GGA-PBE",
  "state": "optimized geometry",
  "lattice_angstrom": [[4.834, -0.026, -0.014], [0.007, 4.592, -0.411], [0.030, 0.814, 7.248]],
  "species": ["Ce", "Ce", "Ru", "Ru", "Pr", "Pr"],
  "frac_coords": [[0.024, 0.341, 0.043], [0.522, 0.834, 0.004], [0.021, 0.941, 0.244], [0.525, 0.234, 0.803], [0.023, 0.832, 0.641], [0.523, 0.343, 0.405]],
  "volume_a3_per_fu": 81.3,
  "crystal_system": "triclinic",
  "dos_ef_per_ev_cell": 8.69,
  "rho_g_cm3": 7.81,
  "spacegroup": "P-1, No. 2"
}

## ii
{
  "formula": "CePrRu",
  "functional": "GGA-PBE",
  "state": "optimized geometry",
  "lattice_angstrom": [[4.887, 0.000, 0.000], [2.443, 4.232, 0.000], [2.443, 1.411, 3.990]],
  "species": ["Ce", "Ru", "Pr"],
  "frac_coords": [[0.500, 0.500, 0.500], [0.250, 0.250, 0.250], [0.000, 0.000, 0.000]],
  "volume_a3_per_fu": 82.5,
  "crystal_system": "cubic",
  "dos_ef_per_ev_cell": 6.64,
  "rho_g_cm3": 7.69,
  "spacegroup": "F-43m, No. 216"
}

## iii
{
  "formula": "CePrRu",
  "functional": "GGA-PBE",
  "state": "optimized geometry",
  "lattice_angstrom": [[3.570, 0.000, 0.000], [0.000, 3.570, 0.000], [-1.785, -1.785, 5.675]],
  "species": ["Pr", "Ru", "Ce"],
  "frac_coords": [[0.008, 0.008, 0.016], [0.691, 0.691, 0.382], [0.301, 0.301, 0.602]],
  "volume_a3_per_fu": 72.3,
  "crystal_system": "tetragonal",
  "dos_ef_per_ev_cell": 4.29,
  "rho_g_cm3": 8.77,
  "spacegroup": "I4mm, No. 107"
}

## iv
{
  "formula": "CePrRu",
  "functional": "GGA-PBE",
  "state": "optimized geometry",
  "lattice_angstrom": [[5.076, 0.000, 0.000], [0.000, 4.335, 0.000], [0.000, -2.168, 3.755]],
  "species": ["Pr", "Ru", "Ce"],
  "frac_coords": [[0.666, 0.333, 0.667], [0.167, 0.667, 0.333], [0.166, 0.000, 0.000]],
  "volume_a3_per_fu": 82.6,
  "crystal_system": "hexagonal",
  "dos_ef_per_ev_cell": 3.23,
  "rho_g_cm3": 7.68,
  "spacegroup": "P-6m2, No. 187"
}

Pick i: it beats the second-best structure by 0.066 eV/atom.

## i
{
  "formula": "CePr2Ru",
  "functional": "GGA-PBE",
  "state": "optimized geometry",
  "lattice_angstrom": [[3.567, 0.000, 0.000], [1.784, 3.089, 0.000], [1.784, 1.030, 10.800]],
  "species": ["Pr", "Pr", "Ce", "Ru"],
  "frac_coords": [[0.105, 0.105, 0.685], [0.895, 0.895, 0.315], [0.000, 0.000, 0.000], [0.500, 0.500, 0.500]],
  "volume_a3_per_fu": 119.0,
  "crystal_system": "trigonal",
  "dos_ef_per_ev_cell": 8.31,
  "rho_g_cm3": 7.30,
  "spacegroup": "R-3m, No. 166"
}

## ii
{
  "formula": "CePr2Ru",
  "functional": "GGA-PBE",
  "state": "optimized geometry",
  "lattice_angstrom": [[6.503, 0.000, 0.000], [0.000, 7.201, 0.000], [0.000, 0.000, 10.103]],
  "species": ["Ce", "Ce", "Ce", "Ce", "Ru", "Ru", "Ru", "Ru", "Pr", "Pr", "Pr", "Pr", "Pr", "Pr", "Pr", "Pr"],
  "frac_coords": [[0.835, 0.054, 0.250], [0.665, 0.554, 0.250], [0.165, 0.946, 0.750], [0.335, 0.446, 0.750], [0.003, 0.640, 0.750], [0.503, 0.860, 0.250], [0.497, 0.140, 0.750], [0.997, 0.360, 0.250], [0.175, 0.669, 0.434], [0.825, 0.331, 0.934], [0.175, 0.669, 0.066], [0.675, 0.831, 0.566], [0.325, 0.169, 0.066], [0.825, 0.331, 0.566], [0.675, 0.831, 0.934], [0.325, 0.169, 0.434]],
  "volume_a3_per_fu": 118.3,
  "crystal_system": "orthorhombic",
  "dos_ef_per_ev_cell": 27.54,
  "rho_g_cm3": 7.34,
  "spacegroup": "Pnma, No. 62"
}

Pick ii: it beats the second-best structure by 0.509 eV/atom.

## i
{
  "formula": "Ce3Pr2S8",
  "functional": "GGA-PBE",
  "state": "optimized geometry",
  "lattice_angstrom": [[-2.541, 3.587, 1.867], [-8.183, -5.318, -0.918], [5.070, 0.060, 6.784]],
  "species": ["S", "S", "S", "S", "S", "S", "S", "S", "Ce", "Ce", "Ce", "Pr", "Pr"],
  "frac_coords": [[0.000, 0.115, 0.230], [0.500, 0.640, 0.758], [0.000, 0.885, 0.770], [0.500, 0.883, 0.242], [0.500, 0.117, 0.758], [0.000, 0.624, 0.248], [0.500, 0.360, 0.242], [0.000, 0.376, 0.752], [0.000, 0.722, 0.000], [0.500, 0.000, 0.000], [0.000, 0.278, 0.000], [0.500, 0.269, 0.538], [0.500, 0.731, 0.462]],
  "volume_a3_per_fu": 323.3,
  "crystal_system": "orthorhombic",
  "dos_ef_per_ev_cell": 12.02,
  "rho_g_cm3": 4.92,
  "spacegroup": "Cmmm, No. 65"
}

## ii
{
  "formula": "Ce3Pr2S8",
  "functional": "GGA-PBE",
  "state": "optimized geometry",
  "lattice_angstrom": [[-4.170, -4.583, 3.058], [4.308, -6.148, -3.337], [3.381, 4.657, 5.897]],
  "species": ["Ce", "Ce", "Ce", "S", "S", "S", "S", "S", "S", "S", "S", "Pr", "Pr"],
  "frac_coords": [[0.500, 0.000, 0.000], [0.000, 0.261, 0.000], [0.000, 0.739, 0.000], [0.588, 0.648, 0.749], [0.095, 0.390, 0.779], [0.905, 0.610, 0.221], [0.412, 0.352, 0.251], [0.412, 0.899, 0.251], [0.588, 0.101, 0.749], [0.072, 0.886, 0.772], [0.928, 0.114, 0.228], [0.343, 0.269, 0.538], [0.657, 0.731, 0.462]],
  "volume_a3_per_fu": 379.4,
  "crystal_system": "monoclinic",
  "dos_ef_per_ev_cell": 13.95,
  "rho_g_cm3": 4.20,
  "spacegroup": "C2/m, No. 12"
}

Pick ii: it beats the second-best structure by 0.044 eV/atom.

## i
{
  "formula": "Ce3Pr4S8",
  "functional": "GGA-PBE",
  "state": "optimized geometry",
  "lattice_angstrom": [[8.132, -0.114, -0.164], [-3.968, 7.105, 0.132], [-3.968, -2.342, 6.709]],
  "species": ["S", "S", "S", "S", "S", "S", "S", "S", "Ce", "Ce", "Ce", "Pr", "Pr", "Pr", "Pr"],
  "frac_coords": [[0.000, 0.750, 0.250], [0.500, 0.748, 0.252], [0.005, 0.253, 0.253], [0.500, 0.252, 0.748], [0.499, 0.747, 0.747], [0.000, 0.250, 0.750], [0.995, 0.747, 0.747], [0.501, 0.253, 0.253], [0.500, 0.500, 0.000], [0.500, 0.500, 0.500], [0.500, 0.000, 0.500], [0.000, 0.000, 0.000], [0.000, 0.000, 0.500], [0.000, 0.500, 0.000], [0.500, 0.000, 0.000]],
  "volume_a3_per_fu": 381.0,
  "crystal_system": "monoclinic",
  "dos_ef_per_ev_cell": 19.45,
  "rho_g_cm3": 5.41,
  "spacegroup": "C2/m, No. 12"
}

## ii
{
  "formula": "Ce3Pr4S8",
  "functional": "GGA-PBE",
  "state": "optimized geometry",
  "lattice_angstrom": [[-4.253, -6.676, -1.276], [3.743, -6.850, -1.829], [0.295, -6.187, 6.201]],
  "species": ["S", "S", "S", "S", "S", "S", "S", "S", "Pr", "Pr", "Pr", "Pr", "Ce", "Ce", "Ce"],
  "frac_coords": [[0.250, 0.757, 0.743], [0.768, 0.768, 0.697], [0.750, 0.243, 0.257], [0.243, 0.750, 0.257], [0.757, 0.250, 0.743], [0.250, 0.250, 0.743], [0.750, 0.750, 0.257], [0.232, 0.232, 0.303], [0.500, 0.500, 0.500], [0.648, 0.648, 0.056], [0.352, 0.352, 0.944], [0.000, 0.000, 0.000], [0.000, 0.500, 0.500], [0.500, 0.000, 0.500], [0.000, 0.000, 0.500]],
  "volume_a3_per_fu": 414.3,
  "crystal_system": "trigonal",
  "dos_ef_per_ev_cell": 20.98,
  "rho_g_cm3": 4.97,
  "spacegroup": "R-3m, No. 166"
}

Pick i: it beats the second-best structure by 0.267 eV/atom.

## i
{
  "formula": "CePr3S6",
  "functional": "GGA-PBE",
  "state": "optimized geometry",
  "lattice_angstrom": [[-4.812, -5.419, -0.234], [-0.775, -3.901, -6.062], [2.585, -7.143, -0.070]],
  "species": ["S", "S", "S", "S", "S", "S", "Ce", "Pr", "Pr", "Pr"],
  "frac_coords": [[0.044, 0.458, 0.748], [0.750, 0.044, 0.748], [0.458, 0.750, 0.748], [0.247, 0.956, 0.250], [0.547, 0.247, 0.250], [0.956, 0.547, 0.250], [0.853, 0.853, 0.442], [0.146, 0.146, 0.562], [0.354, 0.354, 0.937], [0.645, 0.645, 0.064]],
  "volume_a3_per_fu": 288.6,
  "crystal_system": "trigonal",
  "dos_ef_per_ev_cell": 5.13,
  "rho_g_cm3": 4.34,
  "spacegroup": "R3, No. 146"
}

## ii
{
  "formula": "CePr3S6",
  "functional": "GGA-PBE",
  "state": "optimized geometry",
  "lattice_angstrom": [[8.211, -0.017, -1.324], [-1.551, 8.063, -1.324], [-0.014, -0.017, 8.317]],
  "species": ["Pr", "Pr", "Pr", "Pr", "Pr", "Pr", "S", "S", "S", "S", "S", "S", "S", "S", "S", "S", "S", "S", "Ce", "Ce"],
  "frac_coords": [[0.378, 0.714, 0.887], [0.113, 0.622, 0.286], [0.714, 0.887, 0.378], [0.887, 0.378, 0.714], [0.622, 0.286, 0.113], [0.286, 0.113, 0.622], [0.052, 0.677, 0.938], [0.430, 0.816, 0.575], [0.938, 0.052, 0.677], [0.184, 0.425, 0.570], [0.425, 0.570, 0.184], [0.323, 0.062, 0.948], [0.575, 0.430, 0.816], [0.677, 0.938, 0.052], [0.062, 0.948, 0.323], [0.570, 0.184, 0.425], [0.816, 0.575, 0.430], [0.948, 0.323, 0.062], [0.500, 0.500, 0.500], [0.000, 0.000, 0.000]],
  "volume_a3_per_fu": 275.0,
  "crystal_system": "trigonal",
  "dos_ef_per_ev_cell": 12.18,
  "rho_g_cm3": 4.56,
  "spacegroup": "R-3, No. 148"
}

Pick i: it beats the second-best structure by 0.012 eV/atom.

## i
{
  "formula": "CePr2Sb",
  "functional": "GGA-PBE",
  "state": "optimized geometry",
  "lattice_angstrom": [[4.757, 0.000, 0.000], [0.000, 4.979, 0.000], [0.000, 0.000, 4.979]],
  "species": ["Pr", "Pr", "Sb", "Ce"],
  "frac_coords": [[0.000, 0.500, 0.000], [0.000, 0.000, 0.500], [0.500, 0.000, 0.000], [0.500, 0.500, 0.500]],
  "volume_a3_per_fu": 117.9,
  "crystal_system": "tetragonal",
  "dos_ef_per_ev_cell": 8.13,
  "rho_g_cm3": 7.66,
  "spacegroup": "P4/mmm, No. 123"
}

## ii
{
  "formula": "CePr2Sb",
  "functional": "GGA-PBE",
  "state": "optimized geometry",
  "lattice_angstrom": [[-1.509, 1.320, -3.588], [-0.171, -3.877, -1.354], [-6.790, -0.618, 2.629]],
  "species": ["Pr", "Pr", "Sb", "Ce"],
  "frac_coords": [[0.000, 0.000, 0.776], [0.000, 0.000, 0.224], [0.500, 0.500, 0.000], [0.500, 0.500, 0.500]],
  "volume_a3_per_fu": 123.4,
  "crystal_system": "tetragonal",
  "dos_ef_per_ev_cell": 8.04,
  "rho_g_cm3": 7.31,
  "spacegroup": "P4/mmm, No. 123"
}

## iii
{
  "formula": "CePr2Sb",
  "functional": "GGA-PBE",
  "state": "optimized geometry",
  "lattice_angstrom": [[-3.606, -0.862, -4.101], [-4.986, -2.119, 1.103], [-4.508, 3.172, -0.429]],
  "species": ["Pr", "Pr", "Ce", "Sb"],
  "frac_coords": [[0.750, 0.750, 0.750], [0.250, 0.250, 0.250], [0.500, 0.500, 0.500], [0.000, 0.000, 0.000]],
  "volume_a3_per_fu": 119.5,
  "crystal_system": "cubic",
  "dos_ef_per_ev_cell": 9.21,
  "rho_g_cm3": 7.56,
  "spacegroup": "Fm-3m, No. 225"
}

Pick i: it beats the second-best structure by 0.071 eV/atom.

## i
{
  "formula": "CePrSbTe",
  "functional": "GGA-PBE",
  "state": "optimized geometry",
  "lattice_angstrom": [[5.502, 0.000, 0.000], [2.751, 4.765, 0.000], [2.751, 1.588, 4.492]],
  "species": ["Pr", "Ce", "Te", "Sb"],
  "frac_coords": [[0.500, 0.500, 0.500], [0.000, 0.000, 0.000], [0.250, 0.250, 0.250], [0.750, 0.750, 0.750]],
  "volume_a3_per_fu": 117.8,
  "crystal_system": "cubic",
  "dos_ef_per_ev_cell": 5.70,
  "rho_g_cm3": 7.48,
  "spacegroup": "F-43m, No. 216"
}

## ii
{
  "formula": "CePrSbTe",
  "functional": "GGA-PBE",
  "state": "optimized geometry",
  "lattice_angstrom": [[-1.480, 2.400, 3.533], [-0.777, -2.045, 3.956], [6.269, 1.425, 4.551]],
  "species": ["Pr", "Te", "Ce", "Sb"],
  "frac_coords": [[0.942, 0.942, 0.175], [0.695, 0.695, 0.915], [0.446, 0.446, 0.661], [0.193, 0.193, 0.421]],
  "volume_a3_per_fu": 131.5,
  "crystal_system": "trigonal",
  "dos_ef_per_ev_cell": 8.07,
  "rho_g_cm3": 6.70,
  "spacegroup": "R3m, No. 160"
}

Pick ii: it beats the second-best structure by 0.199 eV/atom.

## i
{
  "formula": "CePr2Sc",
  "functional": "GGA-PBE",
  "state": "optimized geometry",
  "lattice_angstrom": [[-3.697, 2.789, -1.684], [-0.970, -3.438, -3.563], [-3.192, -2.342, 3.129]],
  "species": ["Sc", "Pr", "Pr", "Ce"],
  "frac_coords": [[0.500, 0.000, 0.000], [0.000, 0.500, 0.000], [0.000, 0.000, 0.500], [0.500, 0.500, 0.500]],
  "volume_a3_per_fu": 125.4,
  "crystal_system": "tetragonal",
  "dos_ef_per_ev_cell": 7.54,
  "rho_g_cm3": 6.18,
  "spacegroup": "P4/mmm, No. 123"
}

## ii
{
  "formula": "CePr2Sc",
  "functional": "GGA-PBE",
  "state": "optimized geometry",
  "lattice_angstrom": [[3.455, 0.000, 0.000], [1.728, 2.992, 0.000], [1.728, 0.997, 12.173]],
  "species": ["Pr", "Pr", "Ce", "Sc"],
  "frac_coords": [[0.913, 0.913, 0.261], [0.087, 0.087, 0.739], [0.500, 0.500, 0.500], [0.000, 0.000, 0.000]],
  "volume_a3_per_fu": 125.9,
  "crystal_system": "trigonal",
  "dos_ef_per_ev_cell": 7.68,
  "rho_g_cm3": 6.16,
  "spacegroup": "R-3m, No. 166"
}

## iii
{
  "formula": "CePr2Sc",
  "functional": "GGA-PBE",
  "state": "optimized geometry",
  "lattice_angstrom": [[-0.322, 2.551, 2.437], [-2.456, -0.275, 2.538], [6.613, -4.694, 8.362]],
  "species": ["Pr", "Pr", "Ce", "Sc"],
  "frac_coords": [[0.248, 0.248, 0.257], [0.085, 0.085, 0.744], [0.667, 0.667, 0.999], [0.500, 0.500, 0.501]],
  "volume_a3_per_fu": 124.7,
  "crystal_system": "trigonal",
  "dos_ef_per_ev_cell": 8.17,
  "rho_g_cm3": 6.22,
  "spacegroup": "R3m, No. 160"
}

## iv
{
  "formula": "CePr2Sc",
  "functional": "GGA-PBE",
  "state": "optimized geometry",
  "lattice_angstrom": [[5.656, 0.000, 0.000], [2.828, 4.899, 0.000], [2.828, 1.633, 4.618]],
  "species": ["Ce", "Pr", "Pr", "Sc"],
  "frac_coords": [[0.000, 0.000, 0.000], [0.750, 0.750, 0.750], [0.250, 0.250, 0.250], [0.500, 0.500, 0.500]],
  "volume_a3_per_fu": 128.0,
  "crystal_system": "cubic",
  "dos_ef_per_ev_cell": 11.92,
  "rho_g_cm3": 6.06,
  "spacegroup": "Fm-3m, No. 225"
}

Pick i: it beats the second-best structure by 0.006 eV/atom.